Computed, not measured: crystalline MgRe2Ni at its relaxed geometry at the PBE level of DFT.

Properties
Energy relative to the elements   312 meV/atom
Crystal system   orthorhombic

abc: 2.6375 4.2720 5.1453
angles: 90.00 90.00 90.00
Last column: nearest neighbours and their distance in Å.
Space group Pmmm (No. 47)
One atom of each set of equivalent atoms:
1 Mg 0.0000 0.0000 0.0000 [1 per cell]  2 Ni 2.57, 2 Mg 2.64, 8 Re 2.83
2 Re 0.5000 0.5000 0.2535 [2 per cell]  4 Re 2.54-2.64, 4 Ni 2.81, 4 Mg 2.83
3 Ni 0.0000 0.0000 0.5000 [1 per cell]  2 Mg 2.57, 2 Ni 2.64, 8 Re 2.81

Computed, not measured: crystalline MgRe2Ni at its relaxed geometry at the PBE level of DFT.

Properties
Energy relative to the elements   424 meV/atom
Crystal system   tetragonal

abc: 3.0918 3.0918 6.3556
angles: 90.00 90.00 90.00
Last column: nearest neighbours and their distance in Å.
Space group P4/mmm (No. 123)
One atom of each set of equivalent atoms:
1 Mg 0.0000 0.0000 0.0000 [1 per cell]  8 Re 2.92, 4 Mg 3.09, 2 Ni 3.18
2 Re 0.5000 0.5000 0.3055 [2 per cell]  1 Re 2.47, 4 Ni 2.51
3 Ni 0.0000 0.0000 0.5000 [1 per cell]  8 Re 2.51

Computed, not measured: crystalline MgReNi3 at its relaxed geometry at the PBE level of DFT.

Properties
Energy relative to the elements   1008 meV/atom
Crystal system   cubic
Polymorph energy (0 for the lowest one)   0 meV per atom

abc: 4.5204 4.5204 4.5204
angles: 90.00 90.00 90.00
Last column: nearest neighbours and their distance in Å.
Space group Pm-3m (No. 221)
One atom of each set of equivalent atoms:
1 Mg 0.0000 0.0000 0.0000 [1 per cell]  12 Ni 3.20
2 Re 0.5000 0.5000 0.5000 [1 per cell]  6 Ni 2.26
3 Ni 0.0000 0.5000 0.5000 [3 per cell]  2 Re 2.26

Computed, not measured: crystalline MgRe2Ni at its relaxed geometry at the PBE level of DFT.

Properties
Energy relative to the elements   295 meV/atom
Crystal system   trigonal

abc: 2.7457 2.7457 26.9656
angles: 90.00 90.00 120.00
Last column: nearest neighbours and their distance in Å.
Space group R-3m (No. 166, hexagonal axes)
One atom of each set of equivalent atoms:
1 Mg 0.0000 0.0000 0.0000 [3 per cell]  6 Mg 2.75, 6 Re 2.89
2 Re 0.0000 0.0000 0.2437 [6 per cell]  3 Ni 2.61, 6 Re 2.75, 3 Mg 2.89
3 Ni 0.0000 0.0000 0.5000 [3 per cell]  6 Re 2.61, 6 Ni 2.75

Computed, not measured: crystalline MgRe2Ni at its relaxed geometry at the PBE level of DFT.

Properties
Energy relative to the elements   234 meV/atom
Crystal system   tetragonal

abc: 3.6761 3.6761 8.5395
angles: 90.00 90.00 90.00
Last column: nearest neighbours and their distance in Å.
Space group I4/mmm (No. 139)
One atom of each set of equivalent atoms:
1 Mg 0.0000 0.0000 0.0000 [2 per cell]  4 Ni 2.60, 8 Re 2.82
2 Re 0.0000 0.5000 0.2500 [4 per cell]  4 Re 2.60, 4 Ni 2.82, 4 Mg 2.82
3 Ni 0.0000 0.0000 0.5000 [2 per cell]  4 Mg 2.60, 8 Re 2.82

Computed, not measured: crystalline Mg2ReNi at its relaxed geometry at the PBE level of DFT.

Properties
Energy relative to the elements   370 meV/atom
Crystal system   cubic
Polymorph energy (0 for the lowest one)   273 meV per atom

abc: 6.2686 6.2686 6.2686
angles: 90.00 90.00 90.00
Last column: nearest neighbours and their distance in Å.
Space group F-43m (No. 216)
One atom of each set of equivalent atoms:
1 Mg 0.0000 0.0000 0.0000 [4 per cell]  4 Re 2.71, 4 Mg 2.71
2 Mg 0.2500 0.2500 0.2500 [4 per cell]  4 Ni 2.71, 4 Mg 2.71
3 Re 0.2500 0.2500 0.7500 [4 per cell]  4 Ni 2.71, 4 Mg 2.71
4 Ni 0.0000 0.0000 0.5000 [4 per cell]  4 Re 2.71, 4 Mg 2.71

Computed, not measured: crystalline Mg2ReNi at its relaxed geometry at the PBE level of DFT.

Properties
Energy relative to the elements   207 meV/atom
Crystal system   trigonal
Polymorph energy (0 for the lowest one)   111 meV per atom

abc: 2.8055 2.8055 26.9001
angles: 90.00 90.00 120.00
Last column: nearest neighbours and their distance in Å.
Space group R-3m (No. 166, hexagonal axes)
One atom of each set of equivalent atoms:
1 Mg 0.0000 0.0000 0.2450 [6 per cell]  3 Ni 2.66, 6 Mg 2.81, 3 Re 2.88
2 Re 0.0000 0.0000 0.0000 [3 per cell]  6 Re 2.81, 6 Mg 2.88
3 Ni 0.0000 0.0000 0.5000 [3 per cell]  6 Mg 2.66, 6 Ni 2.81

Computed, not measured: crystalline MgReSiNi2 at its relaxed geometry at the PBE level of DFT.

Properties
Calculated total energy   -26.019 eV per cell
Crystal system   tetragonal

abc: 4.1423 4.1423 4.6181
angles: 90.00 90.00 90.00
Last column: nearest neighbours and their distance in Å.
Space group P4/mmm (No. 123)
One atom of each set of equivalent atoms:
1 Mg 0.0000 0.0000 0.0000 [1 per cell]  2 Si 2.31
2 Re 0.5000 0.5000 0.0000 [1 per cell]  4 Mg 2.93, 8 Ni 3.10
3 Si 0.0000 0.0000 0.5000 [1 per cell]  4 Ni 2.07, 2 Mg 2.31
4 Ni 0.0000 0.5000 0.5000 [2 per cell]  2 Si 2.07

Computed, not measured: crystalline Mg2ReNiSn at its relaxed geometry at the PBE level of DFT.

Properties
Energy relative to the elements   606 meV/atom
Crystal system   tetragonal

abc: 4.6342 4.6342 4.5997
angles: 90.00 90.00 90.00
Last column: nearest neighbours and their distance in Å.
Space group P4/mmm (No. 123)
One atom of each set of equivalent atoms:
1 Mg 0.0000 0.5000 0.0000 [2 per cell]  2 Ni 2.32
2 Re 0.0000 0.0000 0.5000 [1 per cell]  2 Ni 2.30
3 Ni 0.0000 0.0000 0.0000 [1 per cell]  2 Re 2.30, 4 Mg 2.32
4 Sn 0.5000 0.5000 0.5000 [1 per cell]  8 Mg 3.26, 4 Re 3.28

Computed, not measured: crystalline Mg2NiRh at its relaxed geometry at the PBE level of DFT.

Properties
Energy relative to the elements   -352 meV/atom
Crystal system   tetragonal

abc: 4.3206 4.3206 3.1451
angles: 90.00 90.00 90.00
Last column: nearest neighbours and their distance in Å.
Space group P4/mmm (No. 123)
One atom of each set of equivalent atoms:
1 Mg 0.0000 0.5000 0.0000 [2 per cell]  4 Ni 2.67, 4 Rh 2.67
2 Ni 0.0000 0.0000 0.5000 [1 per cell]  8 Mg 2.67
3 Rh 0.5000 0.5000 0.5000 [1 per cell]  8 Mg 2.67

Computed, not measured: crystalline MgNiRh2 at its relaxed geometry at the PBE level of DFT.

Properties
Energy relative to the elements   234 meV/atom
Crystal system   tetragonal

abc: 6.9914 6.9914 5.1177
angles: 90.00 90.00 90.00
Last column: nearest neighbours and their distance in Å.
Space group I-42d (No. 122)
One atom of each set of equivalent atoms:
1 Mg 0.0000 0.0000 0.0000 [4 per cell]  2 Ni 2.56, 4 Rh 2.75
2 Ni 0.0000 0.0000 0.5000 [4 per cell]  4 Rh 2.37, 2 Mg 2.56
3 Rh 0.2106 0.2500 0.6250 [8 per cell]  2 Ni 2.37, 2 Rh 2.62

Computed, not measured: crystalline MgNi2Rh at its relaxed geometry at the PBE level of DFT.

Properties
Energy relative to the elements   -116 meV/atom
Crystal system   tetragonal

abc: 3.7693 3.7693 7.3866
angles: 90.00 90.00 90.00
Last column: nearest neighbours and their distance in Å.
Space group I-4m2 (No. 119)
One atom of each set of equivalent atoms:
1 Mg 0.0000 0.0000 0.0000 [2 per cell]  8 Ni 2.64-2.67, 4 Rh 2.64
2 Ni 0.0000 0.0000 0.5000 [2 per cell]  4 Ni 2.64, 4 Rh 2.64, 4 Mg 2.67
3 Ni 0.0000 0.5000 0.7500 [2 per cell]  4 Ni 2.64, 4 Mg 2.64, 4 Rh 2.67
4 Rh 0.0000 0.5000 0.2500 [2 per cell]  8 Ni 2.64-2.67, 4 Mg 2.64

Copy entry 8 word for word.
Computed, not measured: crystalline MgReSiNi2 at its relaxed geometry at the PBE level of DFT.

Properties
Calculated total energy   -26.019 eV per cell
Crystal system   tetragonal

abc: 4.1423 4.1423 4.6181
angles: 90.00 90.00 90.00
Last column: nearest neighbours and their distance in Å.
Space group P4/mmm (No. 123)
One atom of each set of equivalent atoms:
1 Mg 0.0000 0.0000 0.0000 [1 per cell]  2 Si 2.31
2 Re 0.5000 0.5000 0.0000 [1 per cell]  4 Mg 2.93, 8 Ni 3.10
3 Si 0.0000 0.0000 0.5000 [1 per cell]  4 Ni 2.07, 2 Mg 2.31
4 Ni 0.0000 0.5000 0.5000 [2 per cell]  2 Si 2.07